# Li7CaTl4

A geometry-optimized Li7CaTl4 structure (PBE, Alexandria).

## Properties
DOS(E_F)   10.041 states/eV per cell
E   -2.20 eV per atom
Theoretical density   5.7 Mg/m³
Formation energy   -124 meV/atom

```
data_Li7CaTl4
_cell_length_a 11.3094
_cell_length_b 5.2933
_cell_length_c 10.4152
_cell_angle_alpha 90.00
_cell_angle_beta 121.85
_cell_angle_gamma 90.00
_space_group_name_H-M_alt 'C 1 2/m 1'
_space_group_IT_number 12
loop_
_space_group_symop_operation_xyz
'x,y,z'
'-x,-y,-z'
'-x,y,-z'
'x,-y,z'
'x+1/2,y+1/2,z'
'-x+1/2,-y+1/2,-z'
'-x+1/2,y+1/2,-z'
'x+1/2,-y+1/2,z'
loop_
_atom_site_label
_atom_site_type_symbol
_atom_site_fract_x
_atom_site_fract_y
_atom_site_fract_z
_atom_site_occupancy
Li1 Li 0.0000 0.0000 0.0000 1
Li2 Li 0.0404 0.5000 0.3762 1
Li3 Li 0.1537 0.0000 0.5603 1
Li4 Li 0.2207 0.5000 0.8947 1
Ca1 Ca 0.0000 0.5000 0.0000 1
Tl1 Tl 0.1011 0.0000 0.7972 1
Tl2 Tl 0.2127 0.0000 0.3228 1
```